The following is a GGA-PBE calculation of a relaxed InCo4Se crystal, from Alexandria via LeMat-Bulk.

Calculated values
formation energy without anion corrections = 323 meV per atom
magnetization = 6.99 μB/f.u.
SG = F-43m

Structure (extended XYZ):
```
6
Lattice="2.5160 -3.1724 -2.8358 0.2005 -4.7854 1.2229 -2.4226 -3.3479 -2.7127" Properties=species:S:1:pos:R:3 pbc="T T T"
Co 1.3687 -5.8260 -3.0403
Co 0.1102 -4.2391 -1.6219
Co 0.2105 -6.6328 -1.0102
Co -1.1015 -5.9137 -2.9787
Se 0.0000 0.0000 0.0000
In 0.2205 -8.4793 -3.2441
```


The following is a GGA-PBE calculation of a relaxed InCoSe2 crystal, from Alexandria via LeMat-Bulk.

Calculated values
formation energy without anion corrections = 544 meV per atom
magnetization = 1.83 μB/f.u.
SG = F-43m

Structure (extended XYZ):
```
4
Lattice="4.7881 0.0000 0.0000 2.3941 4.1466 0.0000 2.3941 1.3822 3.9095" Properties=species:S:1:pos:R:3 pbc="T T T"
Se 0.0000 0.0000 0.0000
Se 2.3941 1.3822 0.9774
In 7.1822 4.1466 2.9321
Co 4.7881 2.7644 1.9547
```


The following is a GGA-PBE calculation of a relaxed InCo2Se2 crystal, from Alexandria via LeMat-Bulk.

Calculated values
formation energy without anion corrections = -173 meV per atom
magnetization = 1.82 μB/f.u.
SG = I4/mmm

Structure (extended XYZ):
```
5
Lattice="-3.0857 -1.6182 -1.5908 -1.0794 -1.3152 3.4316 -5.5769 4.1580 1.9769" Properties=species:S:1:pos:R:3 pbc="T T T"
Se -6.6107 1.0032 2.5802
Se -3.1314 0.2215 1.2375
Co -4.3695 0.6881 3.1645
Co -5.3726 0.5366 0.6532
In 0.0000 0.0000 0.0000
```


The following is a GGA-PBE calculation of a relaxed InCoSe2 crystal, from Alexandria via LeMat-Bulk.

Calculated values
formation energy without anion corrections = -221 meV per atom
magnetization = 0.00 μB/f.u.
SG = I-42d

Structure (extended XYZ):
```
8
Lattice="-2.1498 -1.4566 5.3234 4.1765 -4.1640 0.5473 4.4140 0.9150 5.3279" Properties=species:S:1:pos:R:3 pbc="T T T"
Co 1.0134 -2.8103 2.9353
Co 4.8019 -3.0296 4.4053
Se 4.7790 -3.9277 9.0928
Se 0.4389 -1.0958 4.3389
Se 4.3754 -1.7254 6.2374
Se 3.2882 -2.6621 2.7280
In 1.6388 -1.6759 6.7933
In 0.0000 0.0000 0.0000
```